Entry from the Alexandria database: a relaxed AlTcNiRh2 crystal (PBE).

Summary:
As for the formation energy: 1.113 eV per atom. As for the total energy: -29.0 eV per formula unit. The calculation puts the calculated density at 6.67 g cm⁻³.

Lattice parameters (Å, degrees): 4.657 4.657 4.469 90.00 90.00 90.00
Space group P4/mmm (No. 123)
Symmetry-distinct sites (fractional):
Al 0.000 0.000 0.000
Tc 0.500 0.500 0.500
Ni 0.500 0.500 0.000
Rh 0.000 0.500 0.500